1.
Material: KMnCl2F
Method: DFT, GGA+U
State: relaxed

```
KMnCl2F
1.0
-2.5446 1.9287 4.1161
-3.9389 -3.2899 -0.8935
1.8055 -2.8243 2.4396
K Mn F Cl
1 1 1 2
direct
0.5000 0.5000 0.5000
0.0000 0.0000 0.0000
0.0000 0.0000 0.5000
0.0000 0.5000 0.0000
0.5000 0.0000 0.0000
```

---

2.
Material: K2MnCl4F2
Method: DFT, GGA+U
State: relaxed

```
K2MnCl4F2
1.0
6.6259 0.9161 0.6233
2.4982 6.1923 0.0287
2.4982 2.3004 5.7492
K Mn Cl F
2 1 4 2
direct
0.2103 0.7466 0.7466
0.7897 0.2534 0.2534
0.5000 0.0000 0.0000
0.2929 0.7291 0.2057
0.7071 0.7943 0.2709
0.7071 0.2709 0.7943
0.2929 0.2057 0.7291
0.2500 0.1938 0.1938
0.7500 0.8062 0.8062
```

---

3.
Material: KMnClF2
Method: DFT, GGA+U
State: relaxed

```
KMnClF2
1.0
-0.4190 -4.2449 0.5313
-0.0629 -0.5277 -4.2655
5.1378 -0.5088 -0.0128
K Mn F Cl
1 1 2 1
direct
0.5000 0.5000 0.5000
0.0000 0.0000 0.0000
0.0000 0.5000 0.0000
0.5000 0.0000 0.0000
0.0000 0.0000 0.5000
```

---

4.
Material: K2MnCl2F4
Method: DFT, GGA+U
State: relaxed

```
K2MnCl2F4
1.0
-4.9578 -1.3993 -3.5008
-0.5885 -0.7435 6.1558
1.6462 5.9997 0.2958
K Mn Cl F
2 1 2 4
direct
0.5000 0.7500 0.2500
0.5000 0.2500 0.7500
0.0000 0.0000 0.0000
0.0000 0.7245 0.7245
0.0000 0.2755 0.2755
0.0000 0.7991 0.2009
0.5983 0.7991 0.7991
0.0000 0.2009 0.7991
0.4017 0.2009 0.2009
```

---

Electronic total energy for every record listed, in sequence, given in eV for the cell shown: -24.04, -36.38, -25.85, -40.23.
Size of the total moment for every record listed, in sequence, given in Bohr magnetons per cell: 5.0, 3.0, 5.0, 3.0.
Theoretical density for every record listed, in sequence, given in g/cm3: 2.71, 2.40, 2.92, 2.61.